# Pr2HoTe, relaxed, DFT PBE
data_Pr2HoTe
_chemical_formula_sum 'Pr6 Ho3 Te3'
_cell_length_a 3.9987
_cell_length_b 3.9987
_cell_length_c 30.2161
_cell_angle_alpha 90.00
_cell_angle_beta 90.00
_cell_angle_gamma 120.00
_space_group_name_H-M_alt 'R -3 m'
_space_group_IT_number 166
_space_group_name_Hall '-R 3 2"'
loop_
_atom_site_label
_atom_site_type_symbol
_atom_site_fract_x
_atom_site_fract_y
_atom_site_fract_z
Pr1 Pr 0.0000 0.0000 0.2396
Ho1 Ho 0.0000 0.0000 0.0000
Te1 Te 0.0000 0.0000 0.5000
# * energy relative to the elements, uncorrected: -516.6 meV/atom
# * crystal system: trigonal
# * spin magnetization: 1.28 Bohr magnetons per cell
# * offset from the most stable computed form: 0.056 eV per atom